Arrangement w

Below is a relaxed LiPtCl6 crystal, with properties calculated at the PBE-GGA level.

Cell: 6.2020 6.2017 6.5535 Å, 61.76 61.76 60.00°
With the nearest neighbours (Å) after each atom.
Element x y z (fractional)
Li1 0.5000 0.5000 0.5000  6 Cl 2.63
Pt1 0.0000 0.0000 0.0000  6 Cl 2.34
Cl1 0.0653 0.3986 0.7584  1 Pt 2.34
Cl2 0.7776 0.0653 0.7585  1 Pt 2.34
Cl3 0.6014 0.2224 0.2416  1 Pt 2.34
Cl4 0.2224 0.9347 0.2415  1 Pt 2.34
Cl5 0.9347 0.6014 0.2416  1 Pt 2.34
Cl6 0.3986 0.7776 0.7584  1 Pt 2.34

DOS(E_F): 0.978 states/eV per atom
total moment: 0.000 μB per cell
SG: R-3 (148)


Arrangement x

Below is a relaxed LiPtCl6 crystal, with properties calculated at the PBE-GGA level.

Cell: 6.9837 6.1692 6.8074 Å, 105.78 110.67 110.68°
With the nearest neighbours (Å) after each atom.
Element x y z (fractional)
Li1 0.0000 0.0000 0.0000  4 Cl 2.44
Pt1 0.5000 0.0000 0.0000  6 Cl 2.31-2.35
Cl1 0.8797 0.1247 0.2881  1 Pt 2.35, 1 Li 2.44
Cl2 0.5916 0.8366 0.7119  1 Pt 2.35, 1 Li 2.44
Cl3 0.4084 0.1634 0.2881  1 Pt 2.35, 1 Li 2.44
Cl4 0.1203 0.8753 0.7119  1 Pt 2.35, 1 Li 2.44
Cl5 0.3457 0.6006 0.0000  1 Pt 2.31
Cl6 0.6543 0.3994 0.0000  1 Pt 2.31

DOS(E_F): 0.853 states/eV per atom
total moment: 1.041 μB per cell
SG: C2/m (12)


arrangement x takes first place; second place is 25 meV per atom up.


Arrangement w

Below is a relaxed LiPuCl6 crystal, with properties calculated at the PBE-GGA level.

Cell: 6.6343 6.6332 7.0572 Å, 61.93 61.93 59.99°
With the nearest neighbours (Å) after each atom.
Element x y z (fractional)
Li1 0.5000 0.5000 0.5000  6 Cl 2.63
Pu1 0.0000 0.0000 0.0000  6 Cl 2.53
Cl1 0.1094 0.3790 0.7527  1 Pu 2.53, 1 Li 2.63
Cl2 0.7589 0.1095 0.7530  1 Pu 2.53, 1 Li 2.63
Cl3 0.6212 0.2411 0.2472  1 Pu 2.53, 1 Li 2.63
Cl4 0.2411 0.8905 0.2470  1 Pu 2.53, 1 Li 2.63
Cl5 0.8906 0.6210 0.2473  1 Pu 2.53, 1 Li 2.63
Cl6 0.3788 0.7589 0.7528  1 Pu 2.53, 1 Li 2.63

DOS(E_F): 1.328 states/eV per atom
total moment: 3.000 μB per cell
SG: R-3 (148)


Arrangement x

Below is a relaxed LiPuCl6 crystal, with properties calculated at the PBE-GGA level.

Cell: 6.5390 6.9614 6.9614 Å, 60.16 90.24 89.76°
With the nearest neighbours (Å) after each atom.
Element x y z (fractional)
Li1 0.5000 0.0207 0.0207  6 Cl 2.61-2.62
Pu1 0.0000 0.0207 0.0207  6 Cl 2.52
Cl1 0.7634 0.7368 0.3047  1 Pu 2.52, 1 Li 2.61
Cl2 0.2366 0.3047 0.7368  1 Pu 2.52, 1 Li 2.61
Cl3 0.2401 0.0212 0.3052  1 Pu 2.52, 1 Li 2.62
Cl4 0.2402 0.7363 0.0203  1 Pu 2.52, 1 Li 2.62
Cl5 0.7598 0.0203 0.7363  1 Pu 2.52, 1 Li 2.62
Cl6 0.7599 0.3052 0.0212  1 Pu 2.52, 1 Li 2.62

DOS(E_F): 1.303 states/eV per atom
total moment: 3.000 μB per cell
SG: C2/m (12)


arrangement x takes first place; second place is 8 meV per atom up.